[1]
GGA-PBE Sm2HoIr, optimized geometry; space group = Pnna (52); D(E_F) = 13.708 states/eV/cell; E above lowest polymorph = 0.099 eV per atom; DFT total energy = -6.14 eV/atom; energy of formation = -1.7 eV per formula unit
1.0
6.8158 0.0000 0.0000
0.0000 6.3673 0.0000
0.0000 0.0000 11.5495
Sm Ho Ir
8 4 4
Cartesian
0.6037 1.5774 0.9949
0.6037 1.6063 4.7798
2.8042 4.7610 4.7798
2.8042 4.7899 0.9949
4.0116 1.5774 10.5546
4.0116 1.6063 6.7697
6.2121 4.7610 6.7697
6.2121 4.7899 10.5546
0.4627 1.5918 8.6621
2.9452 4.7755 8.6621
3.8706 1.5918 2.8874
6.3531 4.7755 2.8874
1.7039 0.0000 10.4960
1.7039 3.1837 6.8283
5.1118 0.0000 1.0536
5.1118 3.1837 4.7212



[2]
GGA-PBE YSi2Cl, optimized geometry; space group = Cmmm (65); D(E_F) = 2.940 states/eV/cell; E above lowest polymorph = 0.735 eV per atom; DFT total energy = -4.90 eV/atom; ΔE_f (raw) = -108 meV per atom
1.0
2.7570 -4.5429 0.0000
2.7570 4.5429 0.0000
0.0000 0.0000 3.2219
Y Si Cl
1 2 1
Cartesian
0.0000 0.0000 0.0000
1.3785 2.2715 1.6109
1.3785 -2.2715 1.6109
2.7570 0.0000 0.0000



Look up the D(E_F) of the second one. 2.940 states/eV/cell



Which value of D(E_F) does entry 2 give? 2.940 states/eV/cell



Among the records above, which one has the highest D(E_F)? Sm2HoIr